i | DFT (GGA-PBE) results for an optimized crystal structure of Y2Ni5Ge3.

a b c (Å): 11.9362 11.9362 6.7392
angles (deg): 90.00 90.00 160.95
Closest atoms and distances in Å follow each position.
Fractional positions:
Y1 0.0220 0.9780 0.5000  6 Ni 2.90-3.19, 5 Ge 2.93-2.95
Y2 0.3422 0.6578 0.0369  5 Ge 3.01-3.18, 8 Ni 3.07-3.28
Y3 0.6578 0.3422 0.5369  5 Ge 3.01-3.18, 8 Ni 3.07-3.28
Y4 0.9780 0.0220 0.0000  6 Ni 2.90-3.19, 5 Ge 2.93-2.95
Ni1 0.1049 0.8951 0.8336  3 Ge 2.35-2.49, 3 Ni 2.51-2.52
Ni2 0.2118 0.7882 0.8303  3 Ge 2.34-2.47, 2 Ni 2.49-2.52
Ni3 0.2129 0.7871 0.2002  4 Ge 2.34-2.46, 1 Ni 2.49
Ni4 0.3519 0.6481 0.5076  3 Ge 2.31-2.51, 3 Ni 2.51-2.55
Ni5 0.4480 0.5520 0.6813  4 Ge 2.44-2.58, 1 Ni 2.55
Ni6 0.5520 0.4480 0.1813  4 Ge 2.44-2.58, 1 Ni 2.55
Ni7 0.6481 0.3519 0.0076  3 Ge 2.31-2.51, 3 Ni 2.51-2.55
Ni8 0.7871 0.2129 0.7002  4 Ge 2.34-2.46, 1 Ni 2.49
Ni9 0.7882 0.2118 0.3303  3 Ge 2.34-2.47, 2 Ni 2.49-2.52
Ni10 0.8951 0.1049 0.3336  3 Ge 2.35-2.49, 3 Ni 2.51-2.52
Ge1 0.1127 0.8873 0.2021  6 Ni 2.36-2.51
Ge2 0.2540 0.7460 0.5159  7 Ni 2.31-2.47
Ge3 0.4486 0.5514 0.3079  4 Ni 2.35-2.58
Ge4 0.5514 0.4486 0.8079  4 Ni 2.35-2.58
Ge5 0.7460 0.2540 0.0159  7 Ni 2.31-2.47
Ge6 0.8873 0.1127 0.7021  6 Ni 2.36-2.51

Calculated values
DOS(E_F), states/eV/atom: 0.7825
M_tot, Bohr magnetons per cell: 0.00
Symmetry: Cmc2_1


ii | DFT (GGA-PBE) results for an optimized crystal structure of Y2Ni5Ge3.

a b c (Å): 3.8856 3.8856 10.7057
angles (deg): 90.00 90.00 90.00
Closest atoms and distances in Å follow each position.
Fractional positions:
Y1 0.0000 0.5000 0.2111  8 Ni 2.87-2.98, 4 Ge 3.11
Y2 0.5000 0.0000 0.7889  8 Ni 2.87-2.98, 4 Ge 3.11
Ni1 0.0000 0.0000 0.0000  4 Ni 2.42
Ni2 0.0000 0.0000 0.5000  8 Ge 2.54-2.75
Ni3 0.0000 0.5000 0.8656  1 Ge 2.29, 4 Ni 2.42
Ni4 0.5000 0.0000 0.1344  1 Ge 2.29, 4 Ni 2.42
Ni5 0.5000 0.5000 0.0000  4 Ni 2.42
Ge1 0.0000 0.5000 0.6521  3 Ni 2.29-2.54, 2 Ge 2.54
Ge2 0.5000 0.0000 0.3479  3 Ni 2.29-2.54, 2 Ge 2.54
Ge3 0.5000 0.5000 0.5000  4 Ge 2.54, 4 Ni 2.75

Calculated values
DOS(E_F), states/eV/atom: 0.3924
M_tot, Bohr magnetons per cell: 0.00
Symmetry: P-4m2


Stability check: which of them is least stable? ii.


i | DFT (GGA-PBE) results for an optimized crystal structure of Zn2Ni2Ge.

a b c (Å): 7.1065 7.1065 2.7122
angles (deg): 90.00 90.00 90.00
Closest atoms and distances in Å follow each position.
Fractional positions:
Zn1 0.1302 0.3698 0.0000  6 Ni 2.46-2.51, 3 Zn 2.62-2.71
Zn2 0.3698 0.8698 0.0000  6 Ni 2.46-2.51, 3 Zn 2.62-2.71
Zn3 0.6302 0.1302 0.0000  6 Ni 2.46-2.51, 3 Zn 2.62-2.71
Zn4 0.8698 0.6302 0.0000  6 Ni 2.46-2.51, 3 Zn 2.62-2.71
Ni1 0.1653 0.6653 0.5000  6 Zn 2.46-2.51, 2 Ni 2.71
Ni2 0.3347 0.1653 0.5000  6 Zn 2.46-2.51, 2 Ni 2.71
Ni3 0.6653 0.8347 0.5000  6 Zn 2.46-2.51, 2 Ni 2.71
Ni4 0.8347 0.3347 0.5000  6 Zn 2.46-2.51, 2 Ni 2.71
Ge1 0.0000 0.0000 0.0000  2 Ge 2.71, 4 Zn 2.79, 8 Ni 2.98
Ge2 0.5000 0.5000 0.0000  2 Ge 2.71, 4 Zn 2.79, 8 Ni 2.98

Calculated values
DOS(E_F), states/eV/atom: 0.6256
M_tot, Bohr magnetons per cell: 0.00
Symmetry: P4/mbm


ii | DFT (GGA-PBE) results for an optimized crystal structure of Zn2Ni2Ge.

a b c (Å): 6.1208 6.1208 3.6581
angles (deg): 90.00 90.00 90.00
Closest atoms and distances in Å follow each position.
Fractional positions:
Zn1 0.1518 0.3482 0.0000  6 Ni 2.52-2.59, 1 Zn 2.63
Zn2 0.3482 0.8482 0.0000  6 Ni 2.52-2.59, 1 Zn 2.63
Zn3 0.6518 0.1518 0.0000  6 Ni 2.52-2.59, 1 Zn 2.63
Zn4 0.8482 0.6518 0.0000  6 Ni 2.52-2.59, 1 Zn 2.63
Ni1 0.1487 0.6487 0.5000  2 Ge 2.34, 6 Zn 2.52-2.59, 1 Ni 2.57
Ni2 0.3513 0.1487 0.5000  2 Ge 2.34, 6 Zn 2.52-2.59, 1 Ni 2.57
Ni3 0.6487 0.8513 0.5000  2 Ge 2.34, 6 Zn 2.52-2.59, 1 Ni 2.57
Ni4 0.8513 0.3513 0.5000  2 Ge 2.34, 6 Zn 2.52-2.59, 1 Ni 2.57
Ge1 0.0000 0.0000 0.5000  4 Ni 2.34
Ge2 0.5000 0.5000 0.5000  4 Ni 2.34

Calculated values
DOS(E_F), states/eV/atom: 0.4424
M_tot, Bohr magnetons per cell: 0.00
Symmetry: P4/mbm


iii | DFT (GGA-PBE) results for an optimized crystal structure of Zn2Ni2Ge.

a b c (Å): 3.9964 3.9964 5.0642
angles (deg): 90.00 90.00 120.00
Closest atoms and distances in Å follow each position.
Fractional positions:
Zn1 0.3333 0.6667 0.1239  5 Ni 2.51-2.63, 3 Zn 2.63
Zn2 0.6667 0.3333 0.8761  5 Ni 2.51-2.63, 3 Zn 2.63
Ni1 0.3333 0.6667 0.6281  3 Ge 2.40, 5 Zn 2.51-2.63, 3 Ni 2.65
Ni2 0.6667 0.3333 0.3719  3 Ge 2.40, 5 Zn 2.51-2.63, 3 Ni 2.65
Ge1 0.0000 0.0000 0.5000  6 Ni 2.40

Calculated values
DOS(E_F), states/eV/atom: 0.3899
M_tot, Bohr magnetons per cell: 0.00
Symmetry: P-3m1


Stability check: which of them is least stable? i.


i | DFT (GGA-PBE) results for an optimized crystal structure of ZnNi4Ge2.

a b c (Å): 4.8946 9.5672 3.9124
angles (deg): 90.00 90.00 90.00
Closest atoms and distances in Å follow each position.
Fractional positions:
Zn1 0.0000 0.0000 0.0000  6 Ni 2.37-2.51
Zn2 0.5000 0.5000 0.0000  6 Ni 2.37-2.51
Ni1 0.0958 0.2578 0.0000  6 Ni 2.45-2.72, 1 Zn 2.51, 4 Ge 2.53-2.59
Ni2 0.1651 0.8883 0.5000  2 Zn 2.37, 4 Ge 2.41-2.52, 2 Ni 2.60
Ni3 0.3349 0.3883 0.5000  2 Zn 2.37, 4 Ge 2.41-2.52, 2 Ni 2.60
Ni4 0.4042 0.7578 0.0000  6 Ni 2.45-2.72, 1 Zn 2.51, 4 Ge 2.53-2.59
Ni5 0.5958 0.2422 0.0000  6 Ni 2.45-2.72, 1 Zn 2.51, 4 Ge 2.53-2.59
Ni6 0.6651 0.6117 0.5000  2 Zn 2.37, 4 Ge 2.41-2.52, 2 Ni 2.60
Ni7 0.8349 0.1117 0.5000  2 Zn 2.37, 4 Ge 2.41-2.52, 2 Ni 2.60
Ni8 0.9042 0.7422 0.0000  6 Ni 2.45-2.72, 1 Zn 2.51, 4 Ge 2.53-2.59
Ge1 0.1549 0.6347 0.5000  8 Ni 2.41-2.59
Ge2 0.3451 0.1347 0.5000  8 Ni 2.41-2.59
Ge3 0.6549 0.8653 0.5000  8 Ni 2.41-2.59
Ge4 0.8451 0.3653 0.5000  8 Ni 2.41-2.59

Calculated values
DOS(E_F), states/eV/atom: 0.5531
M_tot, Bohr magnetons per cell: 0.00
Symmetry: Pbam


ii | DFT (GGA-PBE) results for an optimized crystal structure of ZnNi4Ge2.

a b c (Å): 4.2715 4.2715 12.0205
angles (deg): 90.00 90.00 90.00
Closest atoms and distances in Å follow each position.
Fractional positions:
Zn1 0.0000 0.0000 0.0000  6 Ni 2.14-2.34
Zn2 0.5000 0.5000 0.5000  6 Ni 2.14-2.34
Ni1 0.0000 0.0000 0.1948  1 Ge 2.26, 1 Zn 2.34
Ni2 0.0000 0.0000 0.8052  1 Ge 2.26, 1 Zn 2.34
Ni3 0.0000 0.5000 0.0000  2 Zn 2.14
Ni4 0.0000 0.5000 0.5000  2 Zn 2.14
Ni5 0.5000 0.0000 0.0000  2 Zn 2.14
Ni6 0.5000 0.0000 0.5000  2 Zn 2.14
Ni7 0.5000 0.5000 0.3052  1 Ge 2.26, 1 Zn 2.34
Ni8 0.5000 0.5000 0.6948  1 Ge 2.26, 1 Zn 2.34
Ge1 0.0000 0.0000 0.3825  1 Ni 2.26
Ge2 0.0000 0.0000 0.6175  1 Ni 2.26
Ge3 0.5000 0.5000 0.1175  1 Ni 2.26
Ge4 0.5000 0.5000 0.8825  1 Ni 2.26

Calculated values
DOS(E_F), states/eV/atom: 0.9639
M_tot, Bohr magnetons per cell: 0.33
Symmetry: I4/mmm


iii | DFT (GGA-PBE) results for an optimized crystal structure of ZnNi4Ge2.

a b c (Å): 5.0433 6.2040 6.7277
angles (deg): 107.35 109.35 103.61
Closest atoms and distances in Å follow each position.
Fractional positions:
Zn1 0.0000 0.0000 0.0000  8 Ni 2.43-2.70, 2 Ge 2.59-2.65
Zn2 0.2485 0.8068 0.4792  7 Ni 2.46-2.69, 1 Ge 2.71
Ni1 0.1481 0.6343 0.0464  4 Ge 2.39-2.55, 2 Ni 2.56-2.58, 2 Zn 2.61-2.62
Ni2 0.2160 0.1763 0.4255  4 Ge 2.46-2.54, 2 Zn 2.46-2.47, 3 Ni 2.59-2.70
Ni3 0.2910 0.2405 0.8447  3 Ge 2.42-2.52, 1 Zn 2.53, 4 Ni 2.56-2.61
Ni4 0.4443 0.8880 0.8927  3 Zn 2.47-2.74, 3 Ge 2.49-2.52, 5 Ni 2.56-2.76
Ni5 0.7226 0.1794 0.7353  3 Ge 2.38-2.52, 2 Zn 2.51-2.58, 3 Ni 2.59-2.62
Ni6 0.7393 0.7134 0.1697  3 Ge 2.31-2.43, 1 Zn 2.51, 2 Ni 2.53-2.56
Ni7 0.8181 0.7772 0.5863  3 Ge 2.43-2.50, 2 Zn 2.43-2.49, 2 Ni 2.59-2.62
Ni8 0.8533 0.3480 0.2062  4 Ge 2.52-2.61, 5 Ni 2.53-2.81, 2 Zn 2.60-2.69
Ge1 0.0446 0.4695 0.6378  7 Ni 2.45-2.53, 3 Ge 2.61-2.74
Ge2 0.4066 0.4338 0.2494  7 Ni 2.39-2.61, 1 Zn 2.59
Ge3 0.5993 0.0320 0.3156  6 Ni 2.31-2.55
Ge4 0.6192 0.5408 0.7770  7 Ni 2.33-2.52, 1 Ge 2.61

Calculated values
DOS(E_F), states/eV/atom: 0.5284
M_tot, Bohr magnetons per cell: 0.00
Symmetry: P1


Stability check: which of them is least stable? ii.


i | DFT (GGA-PBE) results for an optimized crystal structure of Np3Ge.

a b c (Å): 4.2600 4.2600 8.3808
angles (deg): 90.00 90.00 90.00
Closest atoms and distances in Å follow each position.
Fractional positions:
Np1 0.0000 0.0000 0.0000  8 Np 2.99, 4 Ge 3.01
Np2 0.0000 0.5000 0.2500  4 Ge 2.99, 8 Np 2.99-3.01
Np3 0.0000 0.5000 0.7500  4 Ge 2.99, 8 Np 2.99-3.01
Np4 0.5000 0.0000 0.2500  4 Ge 2.99, 8 Np 2.99-3.01
Np5 0.5000 0.0000 0.7500  4 Ge 2.99, 8 Np 2.99-3.01
Np6 0.5000 0.5000 0.5000  8 Np 2.99, 4 Ge 3.01
Ge1 0.0000 0.0000 0.5000  12 Np 2.99-3.01
Ge2 0.5000 0.5000 0.0000  12 Np 2.99-3.01

Calculated values
DOS(E_F), states/eV/atom: 2.7120
M_tot, Bohr magnetons per cell: 12.90
Symmetry: I4/mmm


ii | DFT (GGA-PBE) results for an optimized crystal structure of Np3Ge.

a b c (Å): 7.7050 8.9783 4.3207
angles (deg): 90.00 90.57 90.00
Closest atoms and distances in Å follow each position.
Fractional positions:
Np1 0.1045 0.0000 0.2476  4 Np 2.52-2.72
Np2 0.1841 0.2864 0.7486  3 Np 2.47-2.52
Np3 0.1841 0.7136 0.7486  3 Np 2.47-2.52
Np4 0.3159 0.2136 0.2514  3 Np 2.47-2.52
Np5 0.3159 0.7864 0.2514  3 Np 2.47-2.52
Np6 0.3955 0.5000 0.7524  4 Np 2.52-2.72
Np7 0.6045 0.5000 0.2476  4 Np 2.52-2.72
Np8 0.6841 0.2136 0.7486  3 Np 2.47-2.52
Np9 0.6841 0.7864 0.7486  3 Np 2.47-2.52
Np10 0.8159 0.2864 0.2514  3 Np 2.47-2.52
Np11 0.8159 0.7136 0.2514  3 Np 2.47-2.52
Np12 0.8955 0.0000 0.7524  4 Np 2.52-2.72
Ge1 0.1322 0.5000 0.2478  10 Np 2.92-3.10, 2 Ge 2.94-3.00
Ge2 0.3678 0.0000 0.7522  10 Np 2.92-3.10, 2 Ge 2.94-3.00
Ge3 0.6322 0.0000 0.2478  10 Np 2.92-3.10, 2 Ge 2.94-3.00
Ge4 0.8678 0.5000 0.7522  10 Np 2.92-3.10, 2 Ge 2.94-3.00

Calculated values
DOS(E_F), states/eV/atom: 2.0894
M_tot, Bohr magnetons per cell: 0.00
Symmetry: C2/m


iii | DFT (GGA-PBE) results for an optimized crystal structure of Np3Ge.

a b c (Å): 4.5630 4.5630 3.8555
angles (deg): 90.00 90.00 90.00
Closest atoms and distances in Å follow each position.
Fractional positions:
Np1 0.0000 0.0000 0.0000  4 Np 2.55
Np2 0.0000 0.5000 0.7059  2 Np 2.55
Np3 0.5000 0.0000 0.7059  2 Np 2.55
Ge1 0.5000 0.5000 0.1891  8 Np 2.95-3.03

Calculated values
DOS(E_F), states/eV/atom: 2.9484
M_tot, Bohr magnetons per cell: 4.70
Symmetry: P4mm


Stability check: which of them is least stable? i.